(1)
First-principles (PBE) data for a relaxed LaNbAsO crystal, as listed in OQMD.

Cell lengths 4.235, 4.862, 7.311 Å; angles 90.00, 90.00, 90.00 degrees
Element x y z (fractional)
La 0.500 0.824 0.592
La 0.500 0.176 0.092
O 0.500 0.668 0.937
O 0.500 0.332 0.437
Nb 0.000 0.332 0.440
Nb 0.000 0.668 0.940
As 0.000 0.174 0.785
As 0.000 0.826 0.285

E_tot = -31.2 eV per formula unit
space group = Pmc2_1, No. 26
magnetization = 0.00 μB/cell

(2)
First-principles (PBE) data for a relaxed LaNbAsO crystal, as listed in OQMD.

Cell lengths 4.191, 4.191, 8.361 Å; angles 90.00, 90.00, 90.00 degrees
Element x y z (fractional)
O 0.500 0.500 0.000
O 0.000 0.000 0.000
As 0.500 0.000 0.763
As 0.000 0.500 0.237
Nb 0.500 0.000 0.088
Nb 0.000 0.500 0.912
La 0.500 0.500 0.500
La 0.000 0.000 0.500

E_tot = -27.5 eV per formula unit
space group = P4/nmm, No. 129
magnetization = 0.04 μB/cell

(3)
First-principles (PBE) data for a relaxed LaNbAsO crystal, as listed in OQMD.

Cell lengths 4.065, 4.065, 9.462 Å; angles 90.00, 90.00, 90.00 degrees
Last column: magnetic moment on the atom in μB.
Element x y z (fractional)
As 0.000 0.500 0.315  0.01
As 0.500 0.000 0.685  0.01
Nb 0.000 0.000 0.500  0.09
Nb 0.500 0.500 0.500  0.09
La 0.500 0.000 0.130  0.00
La 0.000 0.500 0.870  0.00
O 0.000 0.000 0.000  0.00
O 0.500 0.500 0.000  0.00

E_tot = -32.4 eV per formula unit
space group = P4/nmm, No. 129
magnetization = 0.27 μB/cell